No. 1
This record from the Alexandria database describes an optimized crystal structure of TmSi3Ni9. The functional is PBE.

## Properties
Space group   No. 12
Total magnetization   0.000 μB/cell
ΔE_f (raw)   -0.50 eV/atom
E_tot   -6.101 eV per atom

Unit cell a=4.775 b=6.094 c=6.240 alpha=82.02 beta=67.51 gamma=68.71
Positions (direct):
Tm1 0.000 0.000 0.000
Ni1 0.982 0.658 0.354
Ni2 0.018 0.342 0.646
Ni3 0.336 0.658 0.646
Ni4 0.000 0.500 0.000
Ni5 0.511 0.222 0.775
Ni6 0.286 0.222 0.225
Ni7 0.664 0.342 0.354
Ni8 0.489 0.778 0.225
Ni9 0.714 0.778 0.775
Si1 0.500 0.000 0.500
Si2 0.500 0.500 0.000
Si3 0.000 0.000 0.500

No. 2
This record from the Alexandria database describes an optimized crystal structure of TmSiNi. The functional is PBE.

## Properties
Space group   No. 92
Total magnetization   0.000 μB/cell
ΔE_f (raw)   -0.40 eV/atom
E_tot   -5.627 eV per atom

Unit cell a=6.588 b=6.588 c=5.511 alpha=90.00 beta=90.00 gamma=90.00
Positions (direct):
Ni1 0.826 0.174 0.750
Ni2 0.174 0.826 0.250
Ni3 0.326 0.326 0.000
Ni4 0.674 0.674 0.500
Tm1 0.719 0.281 0.250
Tm2 0.219 0.219 0.500
Tm3 0.781 0.781 0.000
Tm4 0.281 0.719 0.750
Si1 0.587 0.413 0.750
Si2 0.913 0.913 0.500
Si3 0.413 0.587 0.250
Si4 0.087 0.087 0.000

No. 3
This record from the Alexandria database describes an optimized crystal structure of TmSiNi11. The functional is PBE.

## Properties
Space group   No. 12
Total magnetization   2.510 μB/cell
ΔE_f (raw)   -0.28 eV/atom
E_tot   -5.931 eV per atom

Unit cell a=4.664 b=6.188 c=6.223 alpha=82.41 beta=67.99 gamma=69.35
Last column: magnetic moment on the atom in μB.
Positions (direct):
Ni1 0.493 0.776 0.220  0.22
Ni2 0.500 0.000 0.500  0.38
Ni3 0.000 0.000 0.500  0.38
Ni4 0.507 0.224 0.780  0.22
Ni5 0.007 0.354 0.648  0.23
Ni6 0.287 0.224 0.220  0.22
Ni7 0.345 0.646 0.648  0.23
Ni8 0.713 0.776 0.780  0.22
Ni9 0.000 0.500 0.000  0.19
Ni10 0.993 0.646 0.352  0.23
Ni11 0.655 0.354 0.352  0.23
Tm1 0.000 0.000 0.000  -0.06
Si1 0.500 0.500 0.000  -0.01

No. 4
This record from the Alexandria database describes an optimized crystal structure of Tm3Si2Ni3. The functional is PBE.

## Properties
Space group   No. 62
Total magnetization   0.000 μB/cell
ΔE_f (raw)   -0.75 eV/atom
E_tot   -5.947 eV per atom

Unit cell a=5.460 b=7.190 c=14.262 alpha=90.00 beta=90.00 gamma=90.00
Positions (direct):
Tm1 0.883 0.836 0.250
Tm2 0.644 0.027 0.892
Tm3 0.383 0.664 0.750
Tm4 0.644 0.027 0.608
Tm5 0.117 0.164 0.750
Tm6 0.856 0.527 0.608
Tm7 0.144 0.473 0.392
Tm8 0.856 0.527 0.892
Tm9 0.144 0.473 0.108
Tm10 0.356 0.973 0.392
Tm11 0.356 0.973 0.108
Tm12 0.617 0.336 0.250
Ni1 0.092 0.167 0.965
Ni2 0.592 0.333 0.465
Ni3 0.408 0.667 0.965
Ni4 0.908 0.833 0.465
Ni5 0.092 0.167 0.535
Ni6 0.412 0.687 0.250
Ni7 0.912 0.813 0.750
Ni8 0.592 0.333 0.035
Ni9 0.908 0.833 0.035
Ni10 0.408 0.667 0.535
Ni11 0.588 0.313 0.750
Ni12 0.088 0.187 0.250
Si1 0.858 0.127 0.399
Si2 0.142 0.873 0.601
Si3 0.642 0.627 0.101
Si4 0.358 0.373 0.601
Si5 0.142 0.873 0.899
Si6 0.858 0.127 0.101
Si7 0.642 0.627 0.399
Si8 0.358 0.373 0.899

No. 5
This record from the Alexandria database describes an optimized crystal structure of TmSi2Ni8. The functional is PBE.

## Properties
Space group   No. 123
Total magnetization   0.000 μB/cell
ΔE_f (raw)   0.00 eV/atom
E_tot   -5.599 eV per atom

Unit cell a=5.556 b=5.556 c=4.993 alpha=90.00 beta=90.00 gamma=90.00
Positions (direct):
Tm1 0.500 0.500 0.500
Ni1 0.213 0.213 0.249
Ni2 0.787 0.787 0.249
Ni3 0.213 0.213 0.751
Ni4 0.787 0.213 0.751
Ni5 0.787 0.787 0.751
Ni6 0.213 0.787 0.751
Ni7 0.213 0.787 0.249
Ni8 0.787 0.213 0.249
Si1 0.500 0.000 0.000
Si2 0.000 0.500 0.000

No. 6
This record from the Alexandria database describes an optimized crystal structure of Tm2SiNi. The functional is PBE.

## Properties
Space group   No. 11
Total magnetization   0.000 μB/cell
ΔE_f (raw)   -0.67 eV/atom
Energy relative to the lowest polymorph listed for this composition   0 meV per atom
E_tot   -5.709 eV per atom

Unit cell a=4.050 b=5.671 c=7.597 alpha=110.47 beta=90.00 gamma=90.00
Positions (direct):
Tm1 0.750 0.219 0.943
Tm2 0.750 0.221 0.413
Tm3 0.250 0.781 0.057
Tm4 0.250 0.779 0.587
Ni1 0.250 0.383 0.219
Ni2 0.750 0.617 0.781
Si1 0.750 0.657 0.289
Si2 0.250 0.343 0.711

No. 7
This record from the Alexandria database describes an optimized crystal structure of Tm8SiNi2. The functional is PBE.

## Properties
Space group   No. 8
Total magnetization   0.000 μB/cell
ΔE_f (raw)   -0.21 eV/atom
E_tot   -5.002 eV per atom

Unit cell a=6.000 b=7.332 c=7.332 alpha=112.99 beta=100.08 gamma=100.08
Positions (direct):
Si1 0.171 0.005 0.005
Tm1 0.579 0.341 0.079
Tm2 0.803 0.644 0.644
Tm3 0.579 0.079 0.341
Tm4 0.370 0.925 0.656
Tm5 0.370 0.656 0.925
Tm6 0.977 0.781 0.218
Tm7 0.177 0.372 0.372
Tm8 0.977 0.218 0.781
Ni1 0.499 0.694 0.319
Ni2 0.499 0.319 0.694

No. 8
This record from the Alexandria database describes an optimized crystal structure of Tm2Si6Ni9. The functional is PBE.

## Properties
Space group   No. 191
Total magnetization   0.000 μB/cell
ΔE_f (raw)   -0.57 eV/atom
E_tot   -6.070 eV per atom

Unit cell a=5.091 b=5.091 c=10.835 alpha=90.00 beta=90.00 gamma=120.00
Positions (direct):
Ni1 0.500 0.500 0.168
Ni2 0.500 0.000 0.168
Ni3 0.500 0.000 0.500
Ni4 0.000 0.500 0.832
Ni5 0.000 0.500 0.500
Ni6 0.000 0.500 0.168
Ni7 0.500 0.500 0.832
Ni8 0.500 0.000 0.832
Ni9 0.500 0.500 0.500
Si1 0.333 0.667 0.000
Si2 0.667 0.333 0.335
Si3 0.667 0.333 0.665
Si4 0.667 0.333 0.000
Si5 0.333 0.667 0.335
Si6 0.333 0.667 0.665
Tm1 0.000 0.000 0.685
Tm2 0.000 0.000 0.315

No. 9
This record from the Alexandria database describes an optimized crystal structure of Tm2Si4Ni3. The functional is PBE.

## Properties
Space group   No. 64
Total magnetization   0.000 μB/cell
ΔE_f (raw)   -0.73 eV/atom
E_tot   -6.066 eV per atom

Unit cell a=5.324 b=7.027 c=7.548 alpha=90.00 beta=110.65 gamma=90.00
Positions (direct):
Tm1 0.107 0.598 0.214
Tm2 0.607 0.902 0.214
Tm3 0.393 0.098 0.786
Tm4 0.893 0.402 0.786
Ni1 0.979 0.250 0.459
Ni2 0.021 0.750 0.541
Ni3 0.479 0.250 0.459
Ni4 0.521 0.750 0.541
Ni5 0.500 0.500 0.000
Ni6 0.000 0.000 0.000
Si1 0.814 0.250 0.128
Si2 0.319 0.483 0.637
Si3 0.686 0.750 0.872
Si4 0.681 0.517 0.363
Si5 0.186 0.750 0.872
Si6 0.181 0.983 0.363
Si7 0.314 0.250 0.128
Si8 0.819 0.017 0.637

No. 10
This record from the Alexandria database describes an optimized crystal structure of TmSiNi. The functional is PBE.

## Properties
Space group   No. 44
Total magnetization   0.000 μB/cell
ΔE_f (raw)   -0.84 eV/atom
E_tot   -6.069 eV per atom

Unit cell a=4.124 b=7.107 c=10.965 alpha=108.91 beta=100.84 gamma=90.00
Positions (direct):
Si1 0.400 0.556 0.801
Si2 0.769 0.604 0.538
Si3 0.935 0.092 0.871
Si4 0.231 0.067 0.462
Si5 0.600 0.755 0.199
Si6 0.065 0.222 0.129
Tm1 0.665 0.207 0.330
Tm2 0.500 0.948 0.000
Tm3 0.169 0.621 0.339
Tm4 0.335 0.877 0.670
Tm5 0.000 0.536 0.000
Tm6 0.831 0.282 0.661
Ni1 0.429 0.255 0.858
Ni2 0.730 0.896 0.460
Ni3 0.270 0.436 0.540
Ni4 0.894 0.721 0.787
Ni5 0.106 0.933 0.213
Ni6 0.571 0.397 0.142